Entry 1:
AcCd2Ni | PBE | optimized geometry

a b c (Å): 10.5132 10.5132 10.5132
angles (deg): 18.99 18.99 18.99
Positions (direct):
Ac (0.0000, 0.0000, 0.0000)
Cd (0.1095, 0.1095, 0.1095)
Cd (0.8905, 0.8905, 0.8905)
Ni (0.5000, 0.5000, 0.5000)

The calculation puts the formation energy at 432 meV/atom.

***

Entry 2:
Dy2NiS | PBE | optimized geometry

a b c (Å): 7.2167 7.2167 7.2167
angles (deg): 30.67 30.67 30.67
Positions (direct):
Dy (0.2464, 0.2464, 0.2464)
Dy (0.7536, 0.7536, 0.7536)
Ni (0.5000, 0.5000, 0.5000)
S (0.0000, 0.0000, 0.0000)

Its energy above the most stable polymorph in this dataset is 0.438 eV/f.u. For the raw formation energy, the calculation gives -1110 meV per atom.

***

Entry 3:
CoSi2Au | PBE | optimized geometry

a b c (Å): 4.2843 4.2843 4.2843
angles (deg): 60.00 60.00 60.00
Positions (direct):
Co (0.0000, 0.0000, 0.0000)
Si (0.2500, 0.2500, 0.2500)
Si (0.7500, 0.7500, 0.7500)
Au (0.5000, 0.5000, 0.5000)

Its energy above the most stable polymorph in this dataset is 1.580 eV/f.u. For the raw formation energy, the calculation gives 272 meV per atom.

***

Entry 4:
Ba2AlZn6Ga | PBE | optimized geometry

a b c (Å): 5.3691 7.1585 7.1670
angles (deg): 77.28 68.12 67.99
Positions (direct):
Ba (0.2484, 0.1937, 0.3094)
Ba (0.7516, 0.8063, 0.6906)
Al (0.0000, 0.0000, 0.0000)
Zn (0.2205, 0.2806, 0.7812)
Zn (0.2499, 0.5862, 0.9175)
Zn (0.2820, 0.7204, 0.2193)
Zn (0.7180, 0.2796, 0.7807)
Zn (0.7501, 0.4138, 0.0825)
Zn (0.7795, 0.7194, 0.2188)
Ga (0.5000, 0.5000, 0.5000)

The calculation puts the formation energy at -189 meV/atom.

***

no.,D(E_F) (states/eV/cell),size of the total moment (μB per formula unit)
1,3.674,0.000
2,2.254,0.000
3,1.451,0.000
4,4.714,0.000